Below is a PBEsol-optimized structure of YZr3I, with properties calculated at the meta-GGA SCAN level.

Values from the calculation:
- crystal system = cubic
- energy relative to the elements, uncorrected (meV per atom) = 1458
- magnetization (μB/f.u.) = 0.01

```
data_YZr3I
_cell_length_a 5.1949
_cell_length_b 5.1949
_cell_length_c 5.1949
_cell_angle_alpha 90.00
_cell_angle_beta 90.00
_cell_angle_gamma 90.00
_symmetry_space_group_name_H-M 'P m -3 m'
_symmetry_Int_Tables_number 221
_symmetry_space_group_name_Hall '-P 4 2 3'
loop_
_atom_site_label
_atom_site_type_symbol
_atom_site_fract_x
_atom_site_fract_y
_atom_site_fract_z
Y1 Y 0.0000 0.0000 0.0000
Zr1 Zr 0.0000 0.0000 0.5000
I1 I 0.5000 0.5000 0.5000
```